Compound: K2ReWO6
Source: the Alexandria database
Functional: PBE+U
Structure: relaxed

Lattice parameters (Å, degrees): 5.466 5.466 6.822 66.35 66.35 90.00
Element x y z (fractional)
K  0.750  0.250  0.500
K  0.250  0.750  0.500
Re  0.500  0.500  0.000
W  0.000  0.000  0.000
O  0.167  0.167  0.666
O  0.740  0.740  0.000
O  0.260  0.740  0.000
O  0.740  0.260  0.000
O  0.260  0.260  0.000
O  0.833  0.833  0.334

Properties
VASP energy = -68.51 eV per formula unit
Size of the total moment = 0.35 μB per cell
Symmetry = No. 139